1.
Below is a geometry-optimized Sr3HgCl structure, with properties calculated at the GGA-PBE level. Values from VASP.

Output
The value obtained for the total magnetization is 0.92 μB per cell. As for the symmetry: No. 221. As for the energy above the most stable polymorph in this dataset: 0.00 eV/f.u. The value obtained for the uncorrected formation energy is -0.622 eV/atom.

Geometry as Quantum ESPRESSO input:
```
&SYSTEM
  ibrav = 0, nat = 5, ntyp = 3
/
ATOMIC_SPECIES
Sr 87.62 Sr.upf
Hg 200.59 Hg.upf
Cl 35.45 Cl.upf
CELL_PARAMETERS angstrom
5.758 0.000 0.000
0.000 5.758 0.000
0.000 0.000 5.758
ATOMIC_POSITIONS crystal
Sr 0.000 0.000 0.500
Sr 0.000 0.500 0.000
Sr 0.500 0.000 0.000
Hg 0.500 0.500 0.500
Cl 0.000 0.000 0.000
```


2.
Below is a geometry-optimized Sr2HgCl structure, with properties calculated at the GGA-PBE level. Values from VASP.

Output
The value obtained for the total magnetization is 0.74 μB per cell. As for the symmetry: No. 225. As for the energy above the most stable polymorph in this dataset: 0.96 eV/f.u. The value obtained for the uncorrected formation energy is -0.860 eV/atom.

Geometry as Quantum ESPRESSO input:
```
&SYSTEM
  ibrav = 0, nat = 4, ntyp = 3
/
ATOMIC_SPECIES
Sr 87.62 Sr.upf
Hg 200.59 Hg.upf
Cl 35.45 Cl.upf
CELL_PARAMETERS angstrom
0.000 4.036 4.036
4.036 0.000 4.036
4.036 4.036 0.000
ATOMIC_POSITIONS crystal
Sr 0.250 0.250 0.250
Sr 0.750 0.750 0.750
Hg 0.000 0.000 0.000
Cl 0.500 0.500 0.500
```


3.
Below is a geometry-optimized SrHgCl4 structure, with properties calculated at the GGA-PBE level. Values from VASP.

Output
The value obtained for the total magnetization is 2.02 μB per cell. As for the symmetry: No. 216. As for the energy above the most stable polymorph in this dataset: 5.12 eV/f.u. The value obtained for the uncorrected formation energy is -0.647 eV/atom.

Geometry as Quantum ESPRESSO input:
```
&SYSTEM
  ibrav = 0, nat = 6, ntyp = 3
/
ATOMIC_SPECIES
Sr 87.62 Sr.upf
Hg 200.59 Hg.upf
Cl 35.45 Cl.upf
CELL_PARAMETERS angstrom
0.000 4.322 4.322
4.322 0.000 4.322
4.322 4.322 0.000
ATOMIC_POSITIONS crystal
Sr 0.000 0.000 0.000
Hg 0.250 0.250 0.250
Cl 0.124 0.625 0.625
Cl 0.625 0.124 0.625
Cl 0.625 0.625 0.124
Cl 0.625 0.625 0.625
```


4.
Below is a geometry-optimized Sr2HgCl structure, with properties calculated at the GGA-PBE level. Values from VASP.

Output
The value obtained for the total magnetization is 0.00 μB per cell. As for the symmetry: No. 44. As for the energy above the most stable polymorph in this dataset: 0.38 eV/f.u. The value obtained for the uncorrected formation energy is -1.004 eV/atom.

Geometry as Quantum ESPRESSO input:
```
&SYSTEM
  ibrav = 0, nat = 4, ntyp = 3
/
ATOMIC_SPECIES
Sr 87.62 Sr.upf
Hg 200.59 Hg.upf
Cl 35.45 Cl.upf
CELL_PARAMETERS angstrom
-1.986 2.129 8.139
1.986 -2.129 8.139
1.986 2.129 -8.139
ATOMIC_POSITIONS crystal
Sr 0.000 0.000 0.000
Sr 0.755 0.255 0.500
Hg 0.409 0.409 0.000
Cl 0.166 0.666 0.500
```


5.
Below is a geometry-optimized SrHg4Cl structure, with properties calculated at the GGA-PBE level. Values from VASP.

Output
The value obtained for the total magnetization is 0.00 μB per cell. As for the symmetry: No. 216. The value obtained for the uncorrected formation energy is -0.472 eV/atom.

Geometry as Quantum ESPRESSO input:
```
&SYSTEM
  ibrav = 0, nat = 6, ntyp = 3
/
ATOMIC_SPECIES
Sr 87.62 Sr.upf
Hg 200.59 Hg.upf
Cl 35.45 Cl.upf
CELL_PARAMETERS angstrom
0.000 4.429 4.429
4.429 0.000 4.429
4.429 4.429 0.000
ATOMIC_POSITIONS crystal
Sr 0.000 0.000 0.000
Hg 0.376 0.376 0.376
Hg 0.376 0.376 0.873
Hg 0.376 0.873 0.376
Hg 0.873 0.376 0.376
Cl 0.750 0.750 0.750
```


6.
Below is a geometry-optimized Sr2HgCl structure, with properties calculated at the GGA-PBE level. Values from VASP.

Output
The value obtained for the total magnetization is 0.39 μB per cell. As for the symmetry: No. 160. As for the energy above the most stable polymorph in this dataset: 0.17 eV/f.u. The value obtained for the uncorrected formation energy is -1.057 eV/atom.

Geometry as Quantum ESPRESSO input:
```
&SYSTEM
  ibrav = 0, nat = 4, ntyp = 3
/
ATOMIC_SPECIES
Sr 87.62 Sr.upf
Hg 200.59 Hg.upf
Cl 35.45 Cl.upf
CELL_PARAMETERS angstrom
2.153 1.243 8.622
-2.153 1.243 8.622
0.000 -2.486 8.622
ATOMIC_POSITIONS crystal
Sr 0.000 0.000 0.000
Sr 0.171 0.171 0.171
Hg 0.586 0.586 0.586
Cl 0.757 0.757 0.757
```


7.
Below is a geometry-optimized Sr2Hg2Cl structure, with properties calculated at the GGA-PBE level. Values from VASP.

Output
The value obtained for the total magnetization is 0.00 μB per cell. As for the symmetry: No. 139. As for the energy above the most stable polymorph in this dataset: 1.58 eV/f.u. The value obtained for the uncorrected formation energy is -0.597 eV/atom.

Geometry as Quantum ESPRESSO input:
```
&SYSTEM
  ibrav = 0, nat = 5, ntyp = 3
/
ATOMIC_SPECIES
Sr 87.62 Sr.upf
Hg 200.59 Hg.upf
Cl 35.45 Cl.upf
CELL_PARAMETERS angstrom
-3.135 3.135 4.747
3.135 -3.135 4.747
3.135 3.135 -4.747
ATOMIC_POSITIONS crystal
Sr 0.250 0.750 0.500
Sr 0.750 0.250 0.500
Hg 0.147 0.147 0.000
Hg 0.853 0.853 0.000
Cl 0.500 0.500 0.000
```


8.
Below is a geometry-optimized SrHgCl4 structure, with properties calculated at the GGA-PBE level. Values from VASP.

Output
The value obtained for the total magnetization is 0.00 μB per cell. As for the symmetry: No. 15. As for the energy above the most stable polymorph in this dataset: 0.00 eV/f.u. The value obtained for the uncorrected formation energy is -1.500 eV/atom.

Geometry as Quantum ESPRESSO input:
```
&SYSTEM
  ibrav = 0, nat = 12, ntyp = 3
/
ATOMIC_SPECIES
Sr 87.62 Sr.upf
Hg 200.59 Hg.upf
Cl 35.45 Cl.upf
CELL_PARAMETERS angstrom
4.347 -6.984 0.000
4.347 6.984 0.000
-4.232 0.000 5.737
ATOMIC_POSITIONS crystal
Sr 0.130 0.870 0.750
Sr 0.870 0.130 0.250
Hg 0.408 0.592 0.250
Hg 0.592 0.408 0.750
Cl 0.141 0.580 0.373
Cl 0.223 0.269 0.713
Cl 0.269 0.223 0.213
Cl 0.420 0.859 0.127
Cl 0.580 0.141 0.873
Cl 0.731 0.777 0.787
Cl 0.777 0.731 0.287
Cl 0.859 0.420 0.627
```


9.
Below is a geometry-optimized Sr2HgCl structure, with properties calculated at the GGA-PBE level. Values from VASP.

Output
The value obtained for the total magnetization is 0.33 μB per cell. As for the symmetry: No. 10. As for the energy above the most stable polymorph in this dataset: 0.00 eV/f.u. The value obtained for the uncorrected formation energy is -1.100 eV/atom.

Geometry as Quantum ESPRESSO input:
```
&SYSTEM
  ibrav = 0, nat = 4, ntyp = 3
/
ATOMIC_SPECIES
Sr 87.62 Sr.upf
Hg 200.59 Hg.upf
Cl 35.45 Cl.upf
CELL_PARAMETERS angstrom
4.155 0.000 0.000
0.000 3.896 0.000
-0.010 0.000 8.563
ATOMIC_POSITIONS crystal
Sr 0.000 0.000 0.226
Sr 0.000 0.000 0.774
Hg 0.500 0.500 0.000
Cl 0.000 0.500 0.500
```


10.
Below is a geometry-optimized Sr2Hg2Cl structure, with properties calculated at the GGA-PBE level. Values from VASP.

Output
The value obtained for the total magnetization is 0.00 μB per cell. As for the symmetry: No. 127. As for the energy above the most stable polymorph in this dataset: 0.80 eV/f.u. The value obtained for the uncorrected formation energy is -0.753 eV/atom.

Geometry as Quantum ESPRESSO input:
```
&SYSTEM
  ibrav = 0, nat = 10, ntyp = 3
/
ATOMIC_SPECIES
Sr 87.62 Sr.upf
Hg 200.59 Hg.upf
Cl 35.45 Cl.upf
CELL_PARAMETERS angstrom
8.893 0.000 0.000
0.000 8.893 0.000
0.000 0.000 4.191
ATOMIC_POSITIONS crystal
Sr 0.175 0.325 0.000
Sr 0.325 0.825 0.000
Sr 0.675 0.175 0.000
Sr 0.825 0.675 0.000
Hg 0.122 0.622 0.500
Hg 0.378 0.122 0.500
Hg 0.622 0.878 0.500
Hg 0.878 0.378 0.500
Cl 0.000 0.000 0.500
Cl 0.500 0.500 0.500
```


11.
Below is a geometry-optimized SrTlHgCl2 structure, with properties calculated at the GGA-PBE level. Values from VASP.

Output
The value obtained for the total magnetization is 0.00 μB per cell. As for the symmetry: No. 123. The value obtained for the uncorrected formation energy is -1.111 eV/atom.

Geometry as Quantum ESPRESSO input:
```
&SYSTEM
  ibrav = 0, nat = 5, ntyp = 4
/
ATOMIC_SPECIES
Sr 87.62 Sr.upf
Tl 204.38 Tl.upf
Hg 200.59 Hg.upf
Cl 35.45 Cl.upf
CELL_PARAMETERS angstrom
5.507 0.000 0.000
0.000 5.507 0.000
0.000 0.000 6.936
ATOMIC_POSITIONS crystal
Sr 0.000 0.000 0.000
Tl 0.500 0.500 0.500
Hg 0.000 0.000 0.500
Cl 0.000 0.500 0.000
Cl 0.500 0.000 0.000
```


12.
Below is a geometry-optimized Sr2HgWCl structure, with properties calculated at the GGA-PBE level. Values from VASP.

Output
The value obtained for the total magnetization is 4.94 μB per cell. As for the symmetry: No. 123. The value obtained for the uncorrected formation energy is 0.940 eV/atom.

Geometry as Quantum ESPRESSO input:
```
&SYSTEM
  ibrav = 0, nat = 5, ntyp = 4
/
ATOMIC_SPECIES
Sr 87.62 Sr.upf
Hg 200.59 Hg.upf
W 183.84 W.upf
Cl 35.45 Cl.upf
CELL_PARAMETERS angstrom
6.158 0.000 0.000
0.000 6.158 0.000
0.000 0.000 5.649
ATOMIC_POSITIONS crystal
Sr 0.000 0.500 0.000
Sr 0.500 0.000 0.000
Hg 0.000 0.000 0.000
W 0.500 0.500 0.500
Cl 0.000 0.000 0.500
```


13.
Below is a geometry-optimized Ta2HgCl structure, with properties calculated at the GGA-PBE level. Values from VASP.

Output
The value obtained for the total magnetization is 0.82 μB per cell. As for the symmetry: No. 216. As for the energy above the most stable polymorph in this dataset: 4.06 eV/f.u. The value obtained for the uncorrected formation energy is 0.990 eV/atom.

Geometry as Quantum ESPRESSO input:
```
&SYSTEM
  ibrav = 0, nat = 4, ntyp = 3
/
ATOMIC_SPECIES
Ta 180.95 Ta.upf
Hg 200.59 Hg.upf
Cl 35.45 Cl.upf
CELL_PARAMETERS angstrom
0.000 3.416 3.416
3.416 0.000 3.416
3.416 3.416 0.000
ATOMIC_POSITIONS crystal
Ta 0.000 0.000 0.000
Ta 0.250 0.250 0.250
Hg 0.750 0.750 0.750
Cl 0.500 0.500 0.500
```


14.
Below is a geometry-optimized TaHg3Cl structure, with properties calculated at the GGA-PBE level. Values from VASP.

Output
The value obtained for the total magnetization is 3.67 μB per cell. As for the symmetry: No. 221. As for the energy above the most stable polymorph in this dataset: 3.54 eV/f.u. The value obtained for the uncorrected formation energy is 1.383 eV/atom.

Geometry as Quantum ESPRESSO input:
```
&SYSTEM
  ibrav = 0, nat = 5, ntyp = 3
/
ATOMIC_SPECIES
Ta 180.95 Ta.upf
Hg 200.59 Hg.upf
Cl 35.45 Cl.upf
CELL_PARAMETERS angstrom
5.365 0.000 0.000
0.000 5.365 0.000
0.000 0.000 5.365
ATOMIC_POSITIONS crystal
Ta 0.000 0.000 0.000
Hg 0.000 0.500 0.500
Hg 0.500 0.000 0.500
Hg 0.500 0.500 0.000
Cl 0.500 0.500 0.500
```


15.
Below is a geometry-optimized TaHg2Cl6 structure, with properties calculated at the GGA-PBE level. Values from VASP.

Output
The value obtained for the total magnetization is 0.00 μB per cell. As for the symmetry: No. 14. The value obtained for the uncorrected formation energy is -0.980 eV/atom.

Geometry as Quantum ESPRESSO input:
```
&SYSTEM
  ibrav = 0, nat = 18, ntyp = 3
/
ATOMIC_SPECIES
Ta 180.95 Ta.upf
Hg 200.59 Hg.upf
Cl 35.45 Cl.upf
CELL_PARAMETERS angstrom
6.997 0.000 0.000
0.000 5.724 0.000
-0.901 0.000 13.902
ATOMIC_POSITIONS crystal
Ta 0.000 0.000 0.000
Ta 0.000 0.500 0.500
Hg 0.492 0.167 0.763
Hg 0.492 0.333 0.263
Hg 0.508 0.667 0.737
Hg 0.508 0.833 0.237
Cl 0.068 0.227 0.140
Cl 0.068 0.273 0.640
Cl 0.183 0.243 0.410
Cl 0.183 0.257 0.910
Cl 0.280 0.726 0.538
Cl 0.280 0.774 0.038
Cl 0.720 0.226 0.962
Cl 0.720 0.274 0.462
Cl 0.817 0.743 0.090
Cl 0.817 0.757 0.590
Cl 0.932 0.727 0.360
Cl 0.932 0.773 0.860
```


16.
Below is a geometry-optimized Ta2HgCl structure, with properties calculated at the GGA-PBE level. Values from VASP.

Output
The value obtained for the total magnetization is 0.00 μB per cell. As for the symmetry: No. 65. As for the energy above the most stable polymorph in this dataset: 1.64 eV/f.u. The value obtained for the uncorrected formation energy is 0.385 eV/atom.

Geometry as Quantum ESPRESSO input:
```
&SYSTEM
  ibrav = 0, nat = 4, ntyp = 3
/
ATOMIC_SPECIES
Ta 180.95 Ta.upf
Hg 200.59 Hg.upf
Cl 35.45 Cl.upf
CELL_PARAMETERS angstrom
1.430 -2.788 0.000
1.430 2.788 0.000
0.000 0.000 9.641
ATOMIC_POSITIONS crystal
Ta 0.000 0.000 0.233
Ta 0.000 0.000 0.767
Hg 0.500 0.500 0.500
Cl 0.500 0.500 0.000
```


17.
Below is a geometry-optimized Ta2HgCl structure, with properties calculated at the GGA-PBE level. Values from VASP.

Output
The value obtained for the total magnetization is 0.00 μB per cell. As for the symmetry: No. 12. As for the energy above the most stable polymorph in this dataset: 2.42 eV/f.u. The value obtained for the uncorrected formation energy is 0.581 eV/atom.

Geometry as Quantum ESPRESSO input:
```
&SYSTEM
  ibrav = 0, nat = 4, ntyp = 3
/
ATOMIC_SPECIES
Ta 180.95 Ta.upf
Hg 200.59 Hg.upf
Cl 35.45 Cl.upf
CELL_PARAMETERS angstrom
2.854 -5.091 0.000
2.854 5.091 0.000
-1.327 0.000 2.734
ATOMIC_POSITIONS crystal
Ta 0.000 0.500 0.000
Ta 0.500 0.000 0.000
Hg 0.000 0.000 0.000
Cl 0.500 0.500 0.000
```


18.
Below is a geometry-optimized Ta2HgCl structure, with properties calculated at the GGA-PBE level. Values from VASP.

Output
The value obtained for the total magnetization is 0.00 μB per cell. As for the symmetry: No. 65. As for the energy above the most stable polymorph in this dataset: 3.18 eV/f.u. The value obtained for the uncorrected formation energy is 0.770 eV/atom.

Geometry as Quantum ESPRESSO input:
```
&SYSTEM
  ibrav = 0, nat = 4, ntyp = 3
/
ATOMIC_SPECIES
Ta 180.95 Ta.upf
Hg 200.59 Hg.upf
Cl 35.45 Cl.upf
CELL_PARAMETERS angstrom
2.913 -4.469 0.000
2.913 4.469 0.000
0.000 0.000 2.933
ATOMIC_POSITIONS crystal
Ta 0.000 0.500 0.000
Ta 0.500 0.000 0.000
Hg 0.000 0.000 0.500
Cl 0.500 0.500 0.500
```


19.
Below is a geometry-optimized Ta2HgCl structure, with properties calculated at the GGA-PBE level. Values from VASP.

Output
The value obtained for the total magnetization is 0.00 μB per cell. As for the symmetry: No. 123. As for the energy above the most stable polymorph in this dataset: 2.76 eV/f.u. The value obtained for the uncorrected formation energy is 0.665 eV/atom.

Geometry as Quantum ESPRESSO input:
```
&SYSTEM
  ibrav = 0, nat = 4, ntyp = 3
/
ATOMIC_SPECIES
Ta 180.95 Ta.upf
Hg 200.59 Hg.upf
Cl 35.45 Cl.upf
CELL_PARAMETERS angstrom
4.898 0.000 0.000
0.000 4.898 0.000
0.000 0.000 3.016
ATOMIC_POSITIONS crystal
Ta 0.000 0.500 0.000
Ta 0.500 0.000 0.000
Hg 0.000 0.000 0.500
Cl 0.500 0.500 0.500
```


20.
Below is a geometry-optimized Ta3HgCl structure, with properties calculated at the GGA-PBE level. Values from VASP.

Output
The value obtained for the total magnetization is 0.00 μB per cell. As for the symmetry: No. 221. As for the energy above the most stable polymorph in this dataset: 0.00 eV/f.u. The value obtained for the uncorrected formation energy is 0.949 eV/atom.

Geometry as Quantum ESPRESSO input:
```
&SYSTEM
  ibrav = 0, nat = 5, ntyp = 3
/
ATOMIC_SPECIES
Ta 180.95 Ta.upf
Hg 200.59 Hg.upf
Cl 35.45 Cl.upf
CELL_PARAMETERS angstrom
4.561 0.000 0.000
0.000 4.561 0.000
0.000 0.000 4.561
ATOMIC_POSITIONS crystal
Ta 0.000 0.000 0.500
Ta 0.000 0.500 0.000
Ta 0.500 0.000 0.000
Hg 0.500 0.500 0.500
Cl 0.000 0.000 0.000
```